# 1
The following is a GGA-PBE calculation of an optimized crystal structure of Ce2Cu2P3, from the Alexandria database.

Geometry as POSCAR:
```
Ce2Cu2P3
1.0
7.2508 -1.9623 0.0000
7.2508 1.9623 0.0000
-6.3372 0.0000 9.3829
Ce Cu P
4 4 6
Direct
0.1006 0.1006 0.4489
0.2347 0.2347 0.8394
0.7653 0.7653 0.1606
0.8994 0.8994 0.5511
0.0869 0.0869 0.1600
0.4556 0.4556 0.1687
0.5444 0.5444 0.8313
0.9131 0.9131 0.8400
0.1123 0.1123 0.9708
0.3408 0.3408 0.6892
0.4184 0.4184 0.3490
0.5816 0.5816 0.6510
0.6592 0.6592 0.3108
0.8877 0.8877 0.0292
```

As for the energy of formation: -926 meV per atom.

***

# 2
The following is a GGA-PBE calculation of an optimized crystal structure of Nd4SmSe6, from the Alexandria database.

Geometry as POSCAR:
```
Nd4SmSe6
1.0
5.9778 3.4513 4.7404
-5.9778 3.4513 4.7404
0.0000 -6.9026 4.7404
Nd Sm Se
8 2 12
Direct
0.1374 0.7500 0.3626
0.2500 0.2500 0.2500
0.2500 0.6374 0.8626
0.3626 0.1374 0.7500
0.6374 0.8626 0.2500
0.7500 0.3626 0.1374
0.7500 0.7500 0.7500
0.8626 0.2500 0.6374
0.0000 0.0000 0.0000
0.5000 0.5000 0.5000
0.0608 0.9130 0.6774
0.0870 0.3226 0.9392
0.1774 0.4130 0.5608
0.3226 0.9392 0.0870
0.4130 0.5608 0.1774
0.4392 0.8226 0.5870
0.5608 0.1774 0.4130
0.5870 0.4392 0.8226
0.6774 0.0608 0.9130
0.8226 0.5870 0.4392
0.9130 0.6774 0.0608
0.9392 0.0870 0.3226
```

Its formation energy (no corrections) is -1.7150 eV per atom.

***

# 3
The following is a GGA-PBE calculation of an optimized crystal structure of As2ICl2, from the Alexandria database.

Geometry as POSCAR:
```
As2ICl2
1.0
-1.8412 1.8412 11.8994
1.8412 -1.8412 11.8994
1.8412 1.8412 -11.8994
As I Cl
2 1 2
Direct
0.2500 0.7500 0.5000
0.7500 0.2500 0.5000
0.0000 0.0000 0.0000
0.3427 0.3427 0.0000
0.6573 0.6573 0.0000
```

The energy above the most stable polymorph in this dataset comes out at 0.0000 eV/atom. Its formation energy (no corrections) is 0.1387 eV per atom.

***

These records have calculated volume values of 19.07, 26.67, 32.27 Å³ per atom, in the order they appear.